*A*
HgSb3 PBE optimized geometry; density = 8.40 g/cm³; N(E_F) = 0.545 states/eV per atom; SG = Immm (71); crystal system = orthorhombic
1.0
-0.245 -3.602 -5.544
5.236 -1.123 -3.886
-2.309 -0.382 6.188
Sb Hg
3 1
direct
0.788 0.788 0.000
0.000 0.500 0.500
0.212 0.212 0.000
0.500 0.000 0.500

---

*B*
HgSb3 PBE optimized geometry; density = 8.77 g/cm³; N(E_F) = 0.641 states/eV per atom; SG = P4/mmm (123); crystal system = tetragonal
1.0
-2.058 -2.854 3.885
2.508 -4.241 -1.788
3.065 0.861 2.256
Sb Hg
3 1
direct
0.000 0.500 0.500
0.500 0.000 0.500
0.500 0.500 0.000
0.000 0.000 0.000

---

Stability summary - winner: *A*; margin: 50 meV per atom.

---

*A*
HgSb5 PBE optimized geometry; density = 7.96 g/cm³; N(E_F) = 0.663 states/eV per atom; SG = P4/mmm (123); crystal system = tetragonal
1.0
-1.137 -0.598 2.869
-0.098 -3.067 -0.679
15.927 -1.821 5.931
Sb Hg
5 1
direct
0.500 0.500 0.664
0.000 0.000 0.173
0.500 0.500 0.336
0.000 0.000 0.827
0.000 0.000 0.500
0.500 0.500 0.000

---

*B*
HgSb5 PBE optimized geometry; density = 7.50 g/cm³; N(E_F) = 0.678 states/eV per atom; SG = Amm2 (38); crystal system = orthorhombic
1.0
7.026 -0.010 0.000
-5.691 4.121 0.000
0.000 0.000 6.205
Sb Hg
5 1
direct
0.732 0.268 0.000
0.381 0.619 0.000
0.723 0.277 0.500
0.387 0.613 0.500
0.055 0.945 0.500
0.056 0.944 0.000

---

Stability summary - winner: *B*; margin: 199 meV per atom.

---

*A*
HgSb5 PBE optimized geometry; density = 8.01 g/cm³; N(E_F) = 0.509 states/eV per atom; SG = Cmmm (65); crystal system = orthorhombic
1.0
-0.416 1.231 -3.762
-1.030 -4.497 -1.358
-8.004 3.766 2.117
Sb Hg
5 1
direct
0.000 0.356 0.712
0.500 0.809 0.617
0.500 0.500 0.000
0.500 0.191 0.383
0.000 0.644 0.288
0.000 0.000 0.000

---

*B*
HgSb5 PBE optimized geometry; density = 7.51 g/cm³; N(E_F) = 0.416 states/eV per atom; SG = C2/m (12); crystal system = monoclinic
1.0
-5.474 3.258 2.795
-4.283 0.006 5.482
0.709 4.892 5.606
Sb Hg
5 1
direct
0.107 0.107 0.274
0.622 0.622 0.764
0.267 0.267 0.458
0.782 0.782 0.948
0.445 0.445 0.611
0.944 0.944 0.111

---

Stability summary - winner: *B*; margin: 161 meV per atom.

---

*A*
Hg4Sb5 PBE optimized geometry; density = 9.23 g/cm³; N(E_F) = 0.457 states/eV per atom; SG = P6_3/mcm (193); crystal system = hexagonal
1.0
-7.622 -4.237 0.724
4.358 -0.101 -7.587
3.722 -6.317 2.223
Sb Hg
10 8
direct
0.401 0.000 0.750
0.667 0.333 0.000
0.667 0.333 0.500
0.401 0.401 0.250
0.599 0.000 0.250
0.333 0.667 0.000
0.599 0.599 0.750
0.000 0.599 0.250
0.333 0.667 0.500
0.000 0.401 0.750
0.000 0.733 0.750
0.000 0.267 0.250
0.000 0.000 0.500
0.733 0.000 0.750
0.733 0.733 0.250
0.267 0.000 0.250
0.267 0.267 0.750
0.000 0.000 0.000

---

*B*
Hg4Sb5 PBE optimized geometry; density = 9.80 g/cm³; N(E_F) = 0.547 states/eV per atom; SG = I4/mmm (139); crystal system = tetragonal
1.0
7.981 -0.417 0.050
-7.112 -1.675 3.238
-0.751 -5.516 -5.735
Sb Hg
5 4
direct
0.332 0.332 0.665
0.668 0.332 0.000
0.332 0.668 0.000
0.668 0.668 0.335
0.000 0.000 0.000
0.000 0.663 0.663
0.337 0.000 0.337
0.000 0.337 0.337
0.663 0.000 0.663

---

Stability summary - winner: *A*; margin: 20 meV per atom.

---

*A*
Hg3Sb PBE optimized geometry; density = 11.29 g/cm³; N(E_F) = 0.511 states/eV per atom; SG = Cmmm (65); crystal system = orthorhombic
1.0
3.358 -0.040 0.000
-1.128 3.164 0.000
0.000 0.000 10.058
Sb Hg
1 3
direct
0.500 0.500 0.250
0.500 0.500 0.750
0.000 0.000 0.997
0.000 0.000 0.503

---

*B*
Hg3Sb PBE optimized geometry; density = 11.40 g/cm³; N(E_F) = 0.509 states/eV per atom; SG = P6_3/mmc (194); crystal system = hexagonal
1.0
3.205 -5.551 0.000
3.205 5.551 0.000
0.000 0.000 5.925
Hg Sb
6 2
direct
0.665 0.833 0.250
0.833 0.167 0.750
0.167 0.335 0.250
0.335 0.167 0.750
0.167 0.833 0.250
0.833 0.665 0.750
0.333 0.667 0.750
0.667 0.333 0.250

---

Stability summary - winner: *A*; margin: 49 meV per atom.

---

*A*
Hg3Sb PBE optimized geometry; density = 11.00 g/cm³; N(E_F) = 0.518 states/eV per atom; SG = Pmmm (47); crystal system = orthorhombic
1.0
-1.681 1.579 2.071
-0.077 -4.667 3.495
5.076 1.910 2.662
Hg Sb
3 1
direct
0.500 0.500 0.251
0.000 0.000 0.500
0.500 0.500 0.749
0.000 0.000 0.000

---

*B*
Hg3Sb PBE optimized geometry; density = 11.42 g/cm³; N(E_F) = 0.705 states/eV per atom; SG = P4/mmm (123); crystal system = tetragonal
1.0
-2.241 2.159 -2.061
-0.547 -2.830 -2.371
-5.937 -2.268 4.079
Hg Sb
3 1
direct
0.000 0.000 0.003
0.500 0.500 0.250
0.000 0.000 0.497
0.500 0.500 0.750

---

Stability summary - winner: *A*; margin: 69 meV per atom.

---

*A*
Hg3Sb PBE optimized geometry; density = 10.79 g/cm³; N(E_F) = 0.422 states/eV per atom; SG = Pmm2 (25); crystal system = orthorhombic
1.0
3.065 0.000 0.000
0.000 4.378 0.000
0.000 0.000 8.301
Hg Sb
3 1
direct
0.500 0.500 0.800
0.000 0.500 0.293
0.500 0.000 0.534
0.000 0.000 0.039

---

*B*
Hg3Sb PBE optimized geometry; density = 11.42 g/cm³; N(E_F) = 0.170 states/eV per atom; SG = R-3m (166); crystal system = trigonal
1.0
0.174 1.667 -9.973
-1.036 -1.620 -9.928
-3.246 1.065 -9.518
Sb Hg
1 3
direct
0.000 0.000 0.000
0.248 0.248 0.248
0.752 0.752 0.752
0.500 0.500 0.500

---

Stability summary - winner: *A*; margin: 11 meV per atom.

---

*A*
Hg3Sb4 PBE optimized geometry; density = 8.73 g/cm³; N(E_F) = 0.496 states/eV per atom; SG = I4/mmm (139); crystal system = tetragonal
1.0
-1.878 1.878 14.676
1.878 -1.878 14.676
1.878 1.878 -14.676
Sb Hg
4 3
direct
0.582 0.582 0.000
0.134 0.134 0.000
0.418 0.418 0.000
0.866 0.866 0.000
0.717 0.717 0.000
0.000 0.000 0.000
0.283 0.283 0.000

---

*B*
Hg3Sb4 PBE optimized geometry; density = 9.19 g/cm³; N(E_F) = 0.989 states/eV per atom; SG = P6/mmm (191); crystal system = hexagonal
1.0
2.865 -4.963 0.000
2.865 4.963 0.000
0.000 0.000 6.920
Hg Sb
3 4
direct
0.500 0.500 0.000
0.000 0.500 0.000
0.500 0.000 0.000
0.667 0.333 0.500
0.000 0.000 0.297
0.333 0.667 0.500
0.000 0.000 0.703

---

Stability summary - winner: *A*; margin: 165 meV per atom.

---

*A*
Sc2HgSb PBE optimized geometry; density = 7.12 g/cm³; N(E_F) = 0.591 states/eV per atom; SG = P4mm (99); crystal system = tetragonal
1.0
-1.606 3.344 -1.581
-2.120 -2.244 -2.593
-4.444 -0.295 3.889
Sc Hg Sb
2 1 1
direct
0.000 0.000 0.960
0.500 0.500 0.289
0.000 0.000 0.453
0.500 0.500 0.798

---

*B*
Sc2HgSb PBE optimized geometry; density = 5.67 g/cm³; N(E_F) = 1.326 states/eV per atom; SG = R-3m (166); crystal system = trigonal
1.0
2.224 0.000 9.400
-1.112 1.926 9.400
-1.112 -1.926 9.400
Sc Sb Hg
2 1 1
direct
0.896 0.896 0.896
0.104 0.104 0.104
0.500 0.500 0.500
0.000 0.000 0.000

---

*C*
Sc2HgSb PBE optimized geometry; density = 6.80 g/cm³; N(E_F) = 0.868 states/eV per atom; SG = C2/m (12); crystal system = monoclinic
1.0
3.992 -0.006 -0.001
1.987 3.463 -0.001
2.016 1.166 7.280
Hg Sc Sb
1 2 1
direct
0.750 0.750 0.750
0.996 0.996 0.013
0.504 0.504 0.487
0.250 0.250 0.250

---

Stability summary - winner: *C*; margin: 46 meV per atom.

---

*A*
Hg3SbSe PBE optimized geometry; density = 8.41 g/cm³; N(E_F) = 0.732 states/eV per atom; SG = Pm-3m (221); crystal system = cubic
1.0
5.412 0.000 0.000
0.000 5.412 0.000
0.000 0.000 5.412
Sb Se Hg
1 1 3
direct
0.500 0.500 0.500
0.000 0.000 0.000
0.500 0.000 0.000
0.000 0.000 0.500
0.000 0.500 0.000

---

*B*
Hg3SbSe PBE optimized geometry; density = 7.65 g/cm³; N(E_F) = 1.122 states/eV per atom; SG = Pm-3m (221); crystal system = cubic
1.0
5.586 0.000 0.000
0.000 5.586 0.000
0.000 0.000 5.586
Hg Se Sb
3 1 1
direct
0.500 0.000 0.000
0.000 0.500 0.000
0.000 0.000 0.500
0.500 0.500 0.500
0.000 0.000 0.000

---

Stability summary - winner: *B*; margin: 110 meV per atom.

---

*A*
HgSbSe PBE optimized geometry; density = 7.47 g/cm³; N(E_F) = 1.038 states/eV per atom; SG = F-43m (216); crystal system = cubic
1.0
5.015 0.000 0.000
2.507 4.343 0.000
2.507 1.448 4.094
Sb Hg Se
1 1 1
direct
0.250 0.250 0.250
0.500 0.500 0.500
0.000 0.000 0.000

---

*B*
HgSbSe PBE optimized geometry; density = 8.31 g/cm³; N(E_F) = 0.499 states/eV per atom; SG = P3m1 (156); crystal system = trigonal
1.0
-1.411 2.149 -3.084
-1.288 -3.758 0.584
-4.250 1.973 3.319
Sb Se Hg
1 1 1
direct
0.667 0.333 0.350
0.333 0.667 0.654
0.000 0.000 0.996

---

*C*
HgSbSe PBE optimized geometry; density = 7.10 g/cm³; N(E_F) = 0.514 states/eV per atom; SG = Fmm2 (42); crystal system = orthorhombic
1.0
-0.165 0.599 -8.426
1.266 -2.724 -7.418
-3.552 0.322 -1.181
Sb Hg Se
1 1 1
direct
0.309 0.309 0.691
0.003 0.003 0.997
0.688 0.688 0.312

---

Stability summary - winner: *B*; margin: 74 meV per atom.

---

*A*
HgSbSe PBE optimized geometry; density = 5.63 g/cm³; N(E_F) = 0.196 states/eV per atom; SG = P2_1 (4); crystal system = monoclinic
1.0
5.285 0.000 -1.108
0.000 5.763 0.000
-0.947 0.000 7.974
Hg Sb Se
2 2 2
direct
0.192 0.340 0.876
0.808 0.840 0.124
0.521 0.349 0.506
0.479 0.849 0.494
0.320 0.843 0.148
0.680 0.343 0.852

---

*B*
HgSbSe PBE optimized geometry; density = 7.08 g/cm³; N(E_F) = 0.324 states/eV per atom; SG = I4mm (107); crystal system = tetragonal
1.0
7.431 0.152 0.000
5.513 4.985 0.000
-6.472 -2.568 2.600
Se Sb Hg
1 1 1
direct
0.712 0.712 0.000
0.296 0.296 0.000
0.992 0.992 0.000

---

*C*
HgSbSe PBE optimized geometry; density = 8.19 g/cm³; N(E_F) = 0.464 states/eV per atom; SG = I4mm (107); crystal system = tetragonal
1.0
5.843 0.007 0.000
3.116 4.943 0.000
-4.481 -2.474 2.820
Sb Se Hg
1 1 1
direct
0.374 0.374 0.000
0.635 0.635 0.000
0.991 0.991 0.000

---

Stability summary - winner: *B*; margin: 86 meV per atom.